This record from OQMD via LeMat-Bulk describes a relaxed ErBeTlS3 crystal. The functional is PBE.

abc: 3.8065 14.4398 10.3556
angles: 90.00 90.00 90.00
Closest atoms and distances in Å follow each position.
Space group Cmcm (No. 63)
Unique sites:
Er 0.0000 0.0000 0.0000 [4 per cell]  6 S 2.69
Be 0.0000 0.4621 0.2500 [4 per cell]  4 S 2.09-2.30
Tl 0.0000 0.2519 0.7500 [4 per cell]  6 S 3.23-3.42
S 0.0000 0.0513 0.2500 [4 per cell]  2 Be 2.30
S 0.0000 0.3822 0.0812 [8 per cell]  1 Be 2.09

raw total energy	-5.1352	eV per atom
mass density	5.6	g cm⁻³

This record from OQMD via LeMat-Bulk describes a relaxed Th3In3Pd2 crystal. The functional is PBE.

abc: 5.9019 5.9019 20.0218
angles: 90.00 90.00 120.00
Closest atoms and distances in Å follow each position.
Space group R-3m (No. 166, hexagonal axes)
Unique sites:
Th 0.0000 0.0000 0.0000 [3 per cell]  6 Pd 3.58, 6 In 3.75, 6 Th 3.76
Th 0.0000 0.0000 0.4122 [6 per cell]  1 Pd 2.67
In 0.0000 0.5000 0.5000 [9 per cell]  2 Pd 2.82, 4 In 2.95
Pd 0.0000 0.0000 0.2786 [6 per cell]  1 Th 2.67, 3 In 2.82

raw total energy	-5.4779	eV per atom
mass density	10.3	g cm⁻³

This record from OQMD via LeMat-Bulk describes a relaxed Pa crystal. The functional is PBE.

abc: 4.0762 4.0762 4.9958
angles: 90.00 90.00 120.00
Closest atoms and distances in Å follow each position.
Space group P3_121 (No. 152)
Unique sites:
Pa 0.0000 0.3371 0.1667 [3 per cell]  6 Pa 2.87-2.90

ΔE_f	0.623	eV per atom
excess energy over the best structure of this formula in the dataset	0.623	eV/atom
raw total energy	-8.8724	eV per atom
mass density	16.0	g cm⁻³

This record from OQMD via LeMat-Bulk describes a relaxed Sm2DyMg3Tl2Cd crystal. The functional is PBE.

abc: 4.6771 13.1112 7.6643
angles: 90.00 90.00 90.00
Closest atoms and distances in Å follow each position.
Space group Amm2 (No. 38)
Unique sites:
Sm 0.0000 0.2116 0.0000 [4 per cell]  1 Cd 3.24, 4 Tl 3.28, 2 Mg 3.46
Dy 0.0000 0.0000 0.6365 [2 per cell]  1 Cd 3.20, 4 Tl 3.23, 2 Mg 3.50
Mg 0.5000 0.0000 0.9757 [2 per cell]  2 Tl 2.96, 2 Cd 2.99, 2 Mg 3.16
Mg 0.5000 0.1202 0.3331 [4 per cell]  2 Cd 2.95, 2 Tl 2.96-2.97, 2 Mg 3.15-3.16
Tl 0.5000 0.1646 0.7117 [4 per cell]  3 Mg 2.96-2.97, 2 Dy 3.23, 4 Sm 3.28
Cd 0.0000 0.0000 0.2192 [2 per cell]  6 Mg 2.95-2.99, 1 Dy 3.20, 2 Sm 3.24

raw total energy	-3.0391	eV per atom
mass density	7.5	g cm⁻³

This record from OQMD via LeMat-Bulk describes a relaxed TaReSi crystal. The functional is PBE.

abc: 7.1737 7.1737 3.1641
angles: 90.00 90.00 120.00
Closest atoms and distances in Å follow each position.
Space group P-62m (No. 189)
Unique sites:
Ta 0.0000 0.6166 0.0000 [3 per cell]  5 Re 2.74-2.75, 6 Si 2.88-2.93
Re 0.0000 0.0000 0.0000 [1 per cell]  6 Si 2.56, 3 Ta 2.75
Re 0.3333 0.6667 0.5000 [2 per cell]  3 Si 2.60, 6 Ta 2.74
Si 0.0000 0.2808 0.5000 [3 per cell]  4 Re 2.56-2.60

raw total energy	-10.1839	eV per atom
mass density	14.0	g cm⁻³

This record from OQMD via LeMat-Bulk describes a relaxed CuCSN crystal. The functional is PBE.

abc: 3.8341 3.8341 16.4058
angles: 90.00 90.00 120.00
Closest atoms and distances in Å follow each position.
Space group R3m (No. 160, hexagonal axes)
Unique sites:
Cu 0.0000 0.0000 0.0000 [3 per cell]  1 N 1.90
C 0.0000 0.0000 0.8126 [3 per cell]  1 N 1.18
S 0.0000 0.0000 0.7113 [3 per cell]  1 C 1.66
N 0.0000 0.0000 0.8843 [3 per cell]  1 C 1.18

excess energy over the best structure of this formula in the dataset	0.000	eV/atom
raw total energy	-6.1956	eV per atom
mass density	2.9	g cm⁻³

This record from OQMD via LeMat-Bulk describes a relaxed CsHgCl3 crystal. The functional is PBE.

abc: 9.3801 15.3349 10.8092
angles: 90.00 125.13 90.00
Closest atoms and distances in Å follow each position.
Space group P2_1/c (No. 14)
Unique sites:
Cs 0.0000 0.0000 0.0000 [2 per cell]  12 Cl 3.80-3.86
Cs 0.0000 0.0000 0.5000 [2 per cell]  12 Cl 3.81-3.86
Cs 0.5004 0.2505 0.2481 [4 per cell]  12 Cl 3.81-3.85
Hg 0.0003 0.2499 0.2493 [4 per cell]  5 Cl 2.54-2.83
Hg 0.5000 0.0000 0.0000 [2 per cell]  2 Cl 2.42
Hg 0.5000 0.0000 0.5000 [2 per cell]  4 Cl 2.57-2.59
Cl 0.0013 0.7483 0.0018 [4 per cell]  2 Hg 2.70-2.71
Cl 0.2325 0.6315 0.3683 [4 per cell]  1 Hg 2.55
Cl 0.2363 0.1336 0.8685 [4 per cell]  1 Hg 2.54
Cl 0.2597 0.6191 0.8816 [4 per cell]  2 Hg 2.59-2.83
Cl 0.2640 0.1187 0.3782 [4 per cell]  2 Hg 2.57-2.85
Cl 0.4981 0.0003 0.7753 [4 per cell]  1 Hg 2.42

excess energy over the best structure of this formula in the dataset	0.017	eV/atom
raw total energy	-2.5149	eV per atom
mass density	4.6	g cm⁻³

This record from OQMD via LeMat-Bulk describes a relaxed Cu7Ag3 crystal. The functional is PBE.

abc: 13.9017 3.6570 5.5103
angles: 90.00 102.23 90.00
Closest atoms and distances in Å follow each position.
Space group C2/m (No. 12)
Unique sites:
Cu 0.0000 0.0000 0.0000 [2 per cell]  10 Cu 2.57-2.63, 2 Ag 2.76
Cu 0.0956 0.5000 0.2780 [4 per cell]  6 Cu 2.52-2.65, 5 Ag 2.70-2.79
Cu 0.0996 0.5000 0.8230 [4 per cell]  7 Cu 2.52-2.81, 4 Ag 2.71-2.72
Cu 0.1935 0.0000 0.0926 [4 per cell]  8 Cu 2.54-2.81, 3 Ag 2.66-2.67
Ag 0.0000 0.0000 0.5000 [2 per cell]  10 Cu 2.70-2.76, 2 Ag 2.73
Ag 0.2006 0.0000 0.6143 [4 per cell]  9 Cu 2.66-2.86, 3 Ag 2.73-2.75

ΔE_f	0.083	eV per atom
excess energy over the best structure of this formula in the dataset	0.038	eV/atom
raw total energy	-3.3666	eV per atom
mass density	9.3	g cm⁻³

This record from OQMD via LeMat-Bulk describes a relaxed LuPa crystal. The functional is PBE.

abc: 6.5714 6.5714 6.5714
angles: 90.00 90.00 90.00
Closest atoms and distances in Å follow each position.
Space group F-43m (No. 216)
Unique sites:
Lu 0.0000 0.0000 0.0000 [4 per cell]  4 Pa 2.85
Pa 0.2500 0.2500 0.7500 [4 per cell]  4 Lu 2.85

ΔE_f	2.461	eV per atom
excess energy over the best structure of this formula in the dataset	2.324	eV/atom
raw total energy	-4.5484	eV per atom
mass density	9.5	g cm⁻³

This record from OQMD via LeMat-Bulk describes a relaxed K2IrWS6 crystal. The functional is PBE.

abc: 6.7989 6.7989 18.9825
angles: 90.00 90.00 120.00
Closest atoms and distances in Å follow each position.
Space group R3m (No. 160, hexagonal axes)
Unique sites:
K 0.0000 0.0000 0.0000 [3 per cell]  1 Ir 3.31, 9 S 3.42-3.43
K 0.0000 0.0000 0.4896 [3 per cell]  9 S 3.41-3.52
Ir 0.0000 0.0000 0.8255 [3 per cell]  3 S 2.16
W 0.0000 0.0000 0.2657 [3 per cell]  3 S 2.20
S 0.1712 0.3424 0.3121 [9 per cell]  1 W 2.20
S 0.1834 0.3668 0.8217 [9 per cell]  1 Ir 2.16

raw total energy	-5.3513	eV per atom
mass density	4.2	g cm⁻³

This record from OQMD via LeMat-Bulk describes a relaxed NbZn2Au crystal. The functional is PBE.

abc: 6.4151 6.4151 6.4151
angles: 90.00 90.00 90.00
Closest atoms and distances in Å follow each position.
Space group F-43m (No. 216)
Unique sites:
Nb 0.0000 0.0000 0.0000 [4 per cell]  4 Zn 2.78, 4 Au 2.78
Zn 0.0000 0.0000 0.5000 [4 per cell]  4 Zn 2.78, 4 Au 2.78
Zn 0.2500 0.2500 0.7500 [4 per cell]  4 Nb 2.78, 4 Zn 2.78
Au 0.2500 0.2500 0.2500 [4 per cell]  4 Nb 2.78, 4 Zn 2.78

ΔE_f	0.062	eV per atom
raw total energy	-3.9101	eV per atom
mass density	10.6	g cm⁻³

This record from OQMD via LeMat-Bulk describes a relaxed DySiHg crystal. The functional is PBE.

abc: 6.6004 6.6004 6.6004
angles: 90.00 90.00 90.00
Closest atoms and distances in Å follow each position.
Space group F-43m (No. 216)
Unique sites:
Dy 0.0000 0.0000 0.0000 [4 per cell]  4 Si 2.86
Si 0.2500 0.2500 0.2500 [4 per cell]  4 Hg 2.86, 4 Dy 2.86
Hg 0.0000 0.0000 0.5000 [4 per cell]  4 Si 2.86

raw total energy	-3.6725	eV per atom
mass density	9.0	g cm⁻³

This record from OQMD via LeMat-Bulk describes a relaxed Cu7Ag3 crystal. The functional is PBE.

abc: 18.6413 2.7452 5.4404
angles: 90.00 99.18 90.00
Closest atoms and distances in Å follow each position.
Space group C2/m (No. 12)
Unique sites:
Cu 0.0000 0.0000 0.0000 [2 per cell]  6 Ag 2.72-2.74, 6 Cu 2.75-2.77
Cu 0.1071 0.5000 0.8046 [4 per cell]  8 Cu 2.57-2.77, 4 Ag 2.67-2.77
Cu 0.2043 0.0000 0.0855 [4 per cell]  9 Cu 2.48-2.75, 2 Ag 2.65
Cu 0.2074 0.0000 0.6156 [4 per cell]  9 Cu 2.53-2.75, 2 Ag 2.70
Ag 0.0000 0.0000 0.5000 [2 per cell]  6 Cu 2.72-2.75, 6 Ag 2.75-2.81
Ag 0.1085 0.5000 0.2963 [4 per cell]  8 Cu 2.65-2.77, 4 Ag 2.75-2.81

ΔE_f	0.087	eV per atom
excess energy over the best structure of this formula in the dataset	0.042	eV/atom
raw total energy	-3.3624	eV per atom
mass density	9.3	g cm⁻³

This record from OQMD via LeMat-Bulk describes a relaxed Gd2FeSi2 crystal. The functional is PBE.

abc: 10.6552 4.1451 10.0784
angles: 90.00 119.86 90.00
Closest atoms and distances in Å follow each position.
Space group C2/m (No. 12)
Unique sites:
Gd 0.0021 0.0000 0.1724 [4 per cell]  7 Si 2.91-3.25, 4 Fe 2.96-3.17
Gd 0.1892 0.0000 0.6078 [4 per cell]  5 Si 2.86-3.04
Fe 0.2267 0.5000 0.8774 [4 per cell]  4 Si 2.32-2.46
Si 0.0025 0.5000 0.6274 [4 per cell]  1 Fe 2.46, 1 Si 2.54
Si 0.1594 0.5000 0.0649 [4 per cell]  3 Fe 2.32-2.33

raw total energy	-6.3704	eV per atom
mass density	7.3	g cm⁻³

This record from OQMD via LeMat-Bulk describes a relaxed Er2SiPt crystal. The functional is PBE.

abc: 4.2257 5.6132 7.3001
angles: 90.00 90.00 90.00
Closest atoms and distances in Å follow each position.
Space group Pmc2_1 (No. 26)
Unique sites:
Er 0.0000 0.1101 0.0000 [2 per cell]  4 Pt 2.92-2.96, 3 Si 2.96-3.06
Er 0.5000 0.3799 0.6426 [2 per cell]  4 Si 2.94-2.96, 3 Pt 2.95-3.02
Si 0.0000 0.3856 0.3618 [2 per cell]  2 Pt 2.67, 5 Er 2.94-2.96
Pt 0.5000 0.1138 0.2831 [2 per cell]  2 Si 2.67, 5 Er 2.92-2.96

raw total energy	-6.1964	eV per atom
mass density	10.7	g cm⁻³

This record from OQMD via LeMat-Bulk describes a relaxed SrNdAgTe3 crystal. The functional is PBE.

abc: 8.6048 4.4635 10.7199
angles: 90.00 104.82 90.00
Closest atoms and distances in Å follow each position.
Space group P2_1/m (No. 11)
Unique sites:
Sr 0.2383 0.2500 0.2922 [2 per cell]  6 Te 3.36-3.39, 1 Ag 3.74
Nd 0.3069 0.7500 0.8360 [2 per cell]  6 Te 3.15-3.21
Ag 0.0835 0.2500 0.5879 [2 per cell]  4 Te 2.83-3.02, 2 Ag 3.04
Te 0.0517 0.2500 0.8447 [2 per cell]  1 Ag 2.83, 2 Nd 3.15
Te 0.2743 0.7500 0.5349 [2 per cell]  3 Ag 2.91-3.02, 1 Nd 3.17
Te 0.4245 0.7500 0.1452 [2 per cell]  3 Nd 3.18-3.21, 2 Sr 3.36

raw total energy	-4.3397	eV per atom
mass density	6.0	g cm⁻³

This record from OQMD via LeMat-Bulk describes a relaxed AgP2 crystal. The functional is PBE.

abc: 10.8487 10.8487 10.8487
angles: 90.00 90.00 90.00
Closest atoms and distances in Å follow each position.
Space group Fd-3m (No. 227, origin choice 2)
Unique sites:
Ag 0.1250 0.1250 0.1250 [8 per cell]  4 P 2.35
P 0.0000 0.0000 0.0000 [16 per cell]  2 Ag 2.35

excess energy over the best structure of this formula in the dataset	1.753	eV/atom
raw total energy	-2.8051	eV per atom
mass density	1.8	g cm⁻³

This record from OQMD via LeMat-Bulk describes a relaxed Lu2NiGe crystal. The functional is PBE.

abc: 6.7840 6.7840 6.7840
angles: 90.00 90.00 90.00
Closest atoms and distances in Å follow each position.
Space group F-43m (No. 216)
Unique sites:
Lu 0.0000 0.0000 0.0000 [4 per cell]  4 Ni 2.94, 4 Lu 2.94
Lu 0.2500 0.2500 0.2500 [4 per cell]  4 Ge 2.94, 4 Lu 2.94
Ni 0.2500 0.2500 0.7500 [4 per cell]  4 Ge 2.94, 4 Lu 2.94
Ge 0.0000 0.0000 0.5000 [4 per cell]  4 Ni 2.94, 4 Lu 2.94

raw total energy	-4.8399	eV per atom
mass density	10.2	g cm⁻³

This record from OQMD via LeMat-Bulk describes a relaxed HgPd2W crystal. The functional is PBE.

abc: 6.4188 6.4188 6.4188
angles: 90.00 90.00 90.00
Closest atoms and distances in Å follow each position.
Space group F-43m (No. 216)
Unique sites:
Hg 0.0000 0.0000 0.0000 [4 per cell]  4 Pd 2.78, 4 W 2.78
Pd 0.0000 0.0000 0.5000 [4 per cell]  4 W 2.78, 4 Pd 2.78
Pd 0.2500 0.2500 0.2500 [4 per cell]  4 Hg 2.78, 4 Pd 2.78
W 0.2500 0.2500 0.7500 [4 per cell]  4 Hg 2.78, 4 Pd 2.78

ΔE_f	0.411	eV per atom
raw total energy	-5.4906	eV per atom
mass density	15.0	g cm⁻³

This record from OQMD via LeMat-Bulk describes a relaxed DyScGa2Ni4 crystal. The functional is PBE.

abc: 4.1174 4.1174 8.4450
angles: 90.00 90.00 120.00
Closest atoms and distances in Å follow each position.
Space group P-6m2 (No. 187)
Unique sites:
Dy 0.0000 0.0000 0.0000 [1 per cell]  8 Ni 2.84-2.87
Sc 0.6667 0.3333 0.5000 [1 per cell]  8 Ni 2.62-2.75
Ga 0.3333 0.6667 0.2635 [2 per cell]  6 Ni 2.46
Ni 0.0000 0.0000 0.3364 [2 per cell]  3 Ga 2.46, 3 Ni 2.68, 3 Sc 2.75
Ni 0.6667 0.3333 0.1902 [2 per cell]  3 Ga 2.46, 1 Sc 2.62, 3 Ni 2.68

raw total energy	-5.4809	eV per atom
mass density	7.8	g cm⁻³